Entry 1:
VASP calculation (PBEsol) on crystalline CuMo2Au at its relaxed geometry.

Lattice parameters (Å, degrees): 5.1800 8.5565 2.6475 90.00 90.00 90.00
Space group Cmmm (No. 65)
Unique sites:
Cu 0.0000 0.0000 0.0000 [2 per cell]
Mo 0.2500 0.2500 0.5000 [4 per cell]
Au 0.0000 0.5000 0.0000 [2 per cell]

Values from the calculation:
Size of the total moment = 0.0 μB per cell
Fermi-level density of states = 6.279 states/eV per cell
ΔE_f = 23.04 kJ/mol of atoms

---

Entry 2:
VASP calculation (PBEsol) on crystalline CuMo2Au at its relaxed geometry.

Lattice parameters (Å, degrees): 9.0857 2.6236 4.9948 90.00 96.80 90.00
Space group Cm (No. 8)
Unique sites:
Cu 0.0000 0.0000 0.0000 [2 per cell]
Mo 0.2559 0.0000 0.7491 [2 per cell]
Mo 0.4959 0.0000 0.5088 [2 per cell]
Au 0.2490 0.5000 0.2335 [2 per cell]

Values from the calculation:
Size of the total moment = 0.0 μB per cell
Fermi-level density of states = 4.569 states/eV per cell
ΔE_f = 22.97 kJ/mol of atoms

---

Entry 3:
VASP calculation (PBEsol) on crystalline CuMo2Au at its relaxed geometry.

Lattice parameters (Å, degrees): 2.6597 4.1881 5.2585 90.00 91.10 90.00
Space group P2/m (No. 10)
Unique sites:
Cu 0.0000 0.0000 0.0000 [1 per cell]
Mo 0.4907 0.5000 0.2301 [2 per cell]
Au 0.0000 0.0000 0.5000 [1 per cell]

Values from the calculation:
Size of the total moment = 0.0 μB per cell
Fermi-level density of states = 2.788 states/eV per cell
ΔE_f = 20.38 kJ/mol of atoms

---

Entry 4:
VASP calculation (PBEsol) on crystalline CuMo2Au at its relaxed geometry.

Lattice parameters (Å, degrees): 3.6814 3.6814 4.3017 90.00 90.00 90.00
Space group P4/mmm (No. 123)
Unique sites:
Cu 0.0000 0.0000 0.0000 [1 per cell]
Mo 0.0000 0.5000 0.5000 [2 per cell]
Au 0.5000 0.5000 0.0000 [1 per cell]

Values from the calculation:
Size of the total moment = 0.0 μB per cell
Fermi-level density of states = 3.258 states/eV per cell
ΔE_f = 18.37 kJ/mol of atoms

---

Entry 5:
VASP calculation (PBEsol) on crystalline Cu2MoPAu at its relaxed geometry.

Lattice parameters (Å, degrees): 4.6283 4.6283 4.4733 90.00 90.00 90.00
Space group P4/mmm (No. 123)
Unique sites:
Cu 0.0000 0.5000 0.0000 [2 per cell]
Mo 0.0000 0.0000 0.0000 [1 per cell]
P 0.0000 0.0000 0.5000 [1 per cell]
Au 0.5000 0.5000 0.5000 [1 per cell]

Values from the calculation:
Size of the total moment = 0.0 μB per cell
Fermi-level density of states = 2.610 states/eV per cell
ΔE_f = 117.24 kJ/mol of atoms

---

Entry 6:
VASP calculation (PBEsol) on crystalline CuAuNO2 at its relaxed geometry.

Lattice parameters (Å, degrees): 4.1256 4.1256 3.6779 90.00 90.00 90.00
Space group P4/mmm (No. 123)
Unique sites:
Cu 0.0000 0.0000 0.0000 [1 per cell]
Au 0.5000 0.5000 0.5000 [1 per cell]
N 0.5000 0.5000 0.0000 [1 per cell]
O 0.0000 0.5000 0.5000 [2 per cell]

Values from the calculation:
Size of the total moment = 0.4 μB per cell
Fermi-level density of states = 6.281 states/eV per cell
Uncorrected formation energy = 1.238 eV per atom

---

Entry 7:
VASP calculation (PBEsol) on crystalline Cu2PdAuN at its relaxed geometry.

Lattice parameters (Å, degrees): 4.6059 4.6059 4.9459 90.00 90.00 90.00
Space group P4/mmm (No. 123)
Unique sites:
Cu 0.0000 0.5000 0.0000 [2 per cell]
Pd 0.0000 0.0000 0.0000 [1 per cell]
Au 0.0000 0.0000 0.5000 [1 per cell]
N 0.5000 0.5000 0.5000 [1 per cell]

Values from the calculation:
Size of the total moment = 2.3 μB per cell
Fermi-level density of states = 5.039 states/eV per cell
Uncorrected formation energy = 2.038 eV per atom

---

Entry 8:
VASP calculation (PBEsol) on crystalline CuTe2AuN at its relaxed geometry.

Lattice parameters (Å, degrees): 5.5972 5.5972 3.6416 90.00 90.00 90.00
Space group P4/mmm (No. 123)
Unique sites:
Cu 0.0000 0.0000 0.0000 [1 per cell]
Te 0.0000 0.5000 0.5000 [2 per cell]
Au 0.5000 0.5000 0.5000 [1 per cell]
N 0.5000 0.5000 0.0000 [1 per cell]

Values from the calculation:
Size of the total moment = 0.0 μB per cell
Fermi-level density of states = 3.946 states/eV per cell
Uncorrected formation energy = 1.108 eV per atom

---

Entry 9:
VASP calculation (PBEsol) on crystalline NaCuAu3 at its relaxed geometry.

Lattice parameters (Å, degrees): 4.7451 4.7451 4.7451 90.00 90.00 90.00
Space group Pm-3m (No. 221)
Unique sites:
Na 0.0000 0.0000 0.0000 [1 per cell]
Cu 0.5000 0.5000 0.5000 [1 per cell]
Au 0.0000 0.0000 0.5000 [3 per cell]

Values from the calculation:
Size of the total moment = 0.0 μB per cell
Fermi-level density of states = 1.599 states/eV per cell
ΔE_f = 121.33 kJ/mol of atoms

---

Entry 10:
VASP calculation (PBEsol) on crystalline Nb2Cu2Au at its relaxed geometry.

Lattice parameters (Å, degrees): 3.1565 3.1565 16.0247 90.00 90.00 90.00
Space group I4/mmm (No. 139)
Unique sites:
Nb 0.0000 0.0000 0.1124 [4 per cell]
Cu 0.0000 0.5000 0.2500 [4 per cell]
Au 0.0000 0.0000 0.5000 [2 per cell]

Values from the calculation:
Size of the total moment = 0.0 μB per cell
Fermi-level density of states = 11.725 states/eV per cell
ΔE_f = 37.18 kJ/mol of atoms

---

Entry 11:
VASP calculation (PBEsol) on crystalline CuNiAu at its relaxed geometry.

Lattice parameters (Å, degrees): 2.7117 3.5216 8.0900 90.00 90.00 90.00
Space group Imm2 (No. 44)
Unique sites:
Cu 0.0000 0.0000 0.0000 [2 per cell]
Ni 0.0000 0.0000 0.3502 [2 per cell]
Au 0.0000 0.0000 0.6760 [2 per cell]

Values from the calculation:
Size of the total moment = 0.0 μB per cell
Fermi-level density of states = 4.444 states/eV per cell
ΔE_f = 3.76 kJ/mol of atoms

---

Entry 12:
VASP calculation (PBEsol) on crystalline Cu2NiAu at its relaxed geometry.

Lattice parameters (Å, degrees): 2.6786 3.4847 5.3566 90.00 90.00 90.00
Space group Pmm2 (No. 25)
Unique sites:
Cu 0.0000 0.0000 0.0000 [1 per cell]
Cu 0.5000 0.5000 0.2310 [1 per cell]
Ni 0.0000 0.0000 0.4574 [1 per cell]
Au 0.5000 0.5000 0.7255 [1 per cell]

Values from the calculation:
Size of the total moment = 0.0 μB per cell
Fermi-level density of states = 1.955 states/eV per cell
ΔE_f = 2.51 kJ/mol of atoms

---

Entry 13:
VASP calculation (PBEsol) on crystalline Cu2NiAu at its relaxed geometry.

Lattice parameters (Å, degrees): 3.7177 3.7177 7.2147 90.00 90.00 90.00
Space group I4/mmm (No. 139)
Unique sites:
Cu 0.0000 0.5000 0.2500 [4 per cell]
Ni 0.0000 0.0000 0.0000 [2 per cell]
Au 0.0000 0.0000 0.5000 [2 per cell]

Values from the calculation:
Size of the total moment = 0.0 μB per cell
Fermi-level density of states = 4.025 states/eV per cell
ΔE_f = -0.37 kJ/mol of atoms

---

Entry 14:
VASP calculation (PBEsol) on crystalline Cu2NiAu at its relaxed geometry.

Lattice parameters (Å, degrees): 8.5385 2.6909 4.4664 90.00 101.63 90.00
Space group Cm (No. 8)
Unique sites:
Cu 0.0000 0.0000 0.0000 [2 per cell]
Cu 0.2477 0.5000 0.2369 [2 per cell]
Ni 0.2563 0.0000 0.7656 [2 per cell]
Au 0.0034 0.5000 0.5038 [2 per cell]

Values from the calculation:
Size of the total moment = 0.0 μB per cell
Fermi-level density of states = 4.535 states/eV per cell
ΔE_f = 4.19 kJ/mol of atoms

---

Entry 15:
VASP calculation (PBEsol) on crystalline CuNi2Au at its relaxed geometry.

Lattice parameters (Å, degrees): 3.6635 3.6635 7.2902 90.00 90.00 90.00
Space group I-4m2 (No. 119)
Unique sites:
Cu 0.0000 0.0000 0.0000 [2 per cell]
Ni 0.0000 0.0000 0.5000 [2 per cell]
Ni 0.0000 0.5000 0.7500 [2 per cell]
Au 0.0000 0.5000 0.2500 [2 per cell]

Values from the calculation:
Size of the total moment = 1.3 μB per cell
Fermi-level density of states = 11.652 states/eV per cell
ΔE_f = 5.01 kJ/mol of atoms

---

Entry 16:
VASP calculation (PBEsol) on crystalline CuNiAu2 at its relaxed geometry.

Lattice parameters (Å, degrees): 9.2364 2.7946 4.4867 90.00 106.54 90.00
Space group Cm (No. 8)
Unique sites:
Cu 0.0000 0.0000 0.0000 [2 per cell]
Ni 0.2765 0.0000 0.7157 [2 per cell]
Au 0.0270 0.5000 0.5235 [2 per cell]
Au 0.2544 0.5000 0.1987 [2 per cell]

Values from the calculation:
Size of the total moment = 0.0 μB per cell
Fermi-level density of states = 4.679 states/eV per cell
ΔE_f = 2.08 kJ/mol of atoms

---

Entry 17:
VASP calculation (PBEsol) on crystalline CuNi2Au at its relaxed geometry.

Lattice parameters (Å, degrees): 3.6591 3.6591 3.6509 90.00 90.00 90.00
Space group P4/mmm (No. 123)
Unique sites:
Cu 0.0000 0.0000 0.0000 [1 per cell]
Ni 0.0000 0.5000 0.5000 [2 per cell]
Au 0.5000 0.5000 0.0000 [1 per cell]

Values from the calculation:
Size of the total moment = 0.8 μB per cell
Fermi-level density of states = 4.628 states/eV per cell
ΔE_f = 5.65 kJ/mol of atoms

---

Entry 18:
VASP calculation (PBEsol) on crystalline CuNiAu at its relaxed geometry.

Lattice parameters (Å, degrees): 2.7582 2.7582 10.1496 90.00 90.00 90.00
Space group I4mm (No. 107)
Unique sites:
Cu 0.0000 0.0000 0.0000 [2 per cell]
Ni 0.0000 0.0000 0.6440 [2 per cell]
Au 0.0000 0.0000 0.3203 [2 per cell]

Values from the calculation:
Size of the total moment = 0.0 μB per cell
Fermi-level density of states = 4.511 states/eV per cell
ΔE_f = 4.90 kJ/mol of atoms

---

Entry 19:
VASP calculation (PBEsol) on crystalline Cu2NiAu at its relaxed geometry.

Lattice parameters (Å, degrees): 2.7171 3.3800 5.4342 90.00 90.00 90.00
Space group Pmmm (No. 47)
Unique sites:
Cu 0.0000 0.0000 0.2244 [2 per cell]
Ni 0.5000 0.5000 0.0000 [1 per cell]
Au 0.5000 0.5000 0.5000 [1 per cell]

Values from the calculation:
Size of the total moment = 0.0 μB per cell
Fermi-level density of states = 2.156 states/eV per cell
ΔE_f = 1.05 kJ/mol of atoms

---

Entry 20:
VASP calculation (PBEsol) on crystalline Cu2NiAu at its relaxed geometry.

Lattice parameters (Å, degrees): 2.7874 2.7874 6.4064 90.00 90.00 90.00
Space group P4mm (No. 99)
Unique sites:
Cu 0.0000 0.0000 0.0000 [1 per cell]
Cu 0.5000 0.5000 0.2270 [1 per cell]
Ni 0.0000 0.0000 0.4452 [1 per cell]
Au 0.5000 0.5000 0.7191 [1 per cell]

Values from the calculation:
Size of the total moment = 0.0 μB per cell
Fermi-level density of states = 1.768 states/eV per cell
ΔE_f = 3.54 kJ/mol of atoms

---

Entry 21:
VASP calculation (PBEsol) on crystalline Cu2NiAu at its relaxed geometry.

Lattice parameters (Å, degrees): 3.7092 3.7092 7.2580 90.00 90.00 90.00
Space group I-4m2 (No. 119)
Unique sites:
Cu 0.0000 0.0000 0.0000 [2 per cell]
Cu 0.0000 0.5000 0.2500 [2 per cell]
Ni 0.0000 0.0000 0.5000 [2 per cell]
Au 0.0000 0.5000 0.7500 [2 per cell]

Values from the calculation:
Size of the total moment = 0.0 μB per cell
Fermi-level density of states = 3.946 states/eV per cell
ΔE_f = 0.81 kJ/mol of atoms

---

Entry 22:
VASP calculation (PBEsol) on crystalline Cu2NiAu at its relaxed geometry.

Lattice parameters (Å, degrees): 4.4087 2.7149 4.4132 90.00 107.52 90.00
Space group P2/m (No. 10)
Unique sites:
Cu 0.0000 0.0000 0.0000 [1 per cell]
Cu 0.5000 0.5000 0.0000 [1 per cell]
Ni 0.0000 0.5000 0.5000 [1 per cell]
Au 0.5000 0.0000 0.5000 [1 per cell]

Values from the calculation:
Size of the total moment = 0.0 μB per cell
Fermi-level density of states = 2.226 states/eV per cell
ΔE_f = 4.02 kJ/mol of atoms

---

Entry 23:
VASP calculation (PBEsol) on crystalline CuNiAu2 at its relaxed geometry.

Lattice parameters (Å, degrees): 5.6838 6.8862 2.8336 90.00 90.00 90.00
Space group Cmmm (No. 65)
Unique sites:
Cu 0.0000 0.0000 0.0000 [2 per cell]
Ni 0.0000 0.5000 0.0000 [2 per cell]
Au 0.2500 0.2500 0.5000 [4 per cell]

Values from the calculation:
Size of the total moment = 0.0 μB per cell
Fermi-level density of states = 4.677 states/eV per cell
ΔE_f = 0.43 kJ/mol of atoms

---

Entry 24:
VASP calculation (PBEsol) on crystalline CuNiAu2 at its relaxed geometry.

Lattice parameters (Å, degrees): 2.8794 2.8794 6.6864 90.00 90.00 90.00
Space group P4mm (No. 99)
Unique sites:
Cu 0.0000 0.0000 0.0000 [1 per cell]
Ni 0.5000 0.5000 0.1965 [1 per cell]
Au 0.0000 0.0000 0.4422 [1 per cell]
Au 0.5000 0.5000 0.7500 [1 per cell]

Values from the calculation:
Size of the total moment = 0.0 μB per cell
Fermi-level density of states = 1.796 states/eV per cell
ΔE_f = 3.11 kJ/mol of atoms

---

Entry 25:
VASP calculation (PBEsol) on crystalline Cu2NiAu at its relaxed geometry.

Lattice parameters (Å, degrees): 5.2758 7.0308 2.7176 90.00 90.00 90.00
Space group Cmmm (No. 65)
Unique sites:
Cu 0.2500 0.2500 0.0000 [4 per cell]
Ni 0.0000 0.0000 0.5000 [2 per cell]
Au 0.0000 0.5000 0.5000 [2 per cell]

Values from the calculation:
Size of the total moment = 0.0 μB per cell
Fermi-level density of states = 5.639 states/eV per cell
ΔE_f = 5.22 kJ/mol of atoms

---

Entry 26:
VASP calculation (PBEsol) on crystalline Cu2NiAu at its relaxed geometry.

Lattice parameters (Å, degrees): 5.8567 5.8567 5.8567 90.00 90.00 90.00
Space group F-43m (No. 216)
Unique sites:
Cu 0.0000 0.0000 0.0000 [4 per cell]
Cu 0.2500 0.2500 0.2500 [4 per cell]
Ni 0.2500 0.2500 0.7500 [4 per cell]
Au 0.0000 0.0000 0.5000 [4 per cell]

Values from the calculation:
Size of the total moment = 0.0 μB per cell
Fermi-level density of states = 7.788 states/eV per cell
ΔE_f = 5.03 kJ/mol of atoms

---

Entry 27:
VASP calculation (PBEsol) on crystalline CuNiAu2 at its relaxed geometry.

Lattice parameters (Å, degrees): 3.7642 3.7642 7.8815 90.00 90.00 90.00
Space group I-4m2 (No. 119)
Unique sites:
Cu 0.0000 0.0000 0.0000 [2 per cell]
Ni 0.0000 0.5000 0.2500 [2 per cell]
Au 0.0000 0.0000 0.5000 [2 per cell]
Au 0.0000 0.5000 0.7500 [2 per cell]

Values from the calculation:
Size of the total moment = 0.0 μB per cell
Fermi-level density of states = 4.674 states/eV per cell
ΔE_f = 3.19 kJ/mol of atoms

---

Entry 28:
VASP calculation (PBEsol) on crystalline CuNi2Au at its relaxed geometry.

Lattice parameters (Å, degrees): 2.6770 3.3993 5.4009 90.00 90.00 90.00
Space group Pmm2 (No. 25)
Unique sites:
Cu 0.0000 0.0000 0.0000 [1 per cell]
Ni 0.0000 0.0000 0.5538 [1 per cell]
Ni 0.5000 0.5000 0.7670 [1 per cell]
Au 0.5000 0.5000 0.2755 [1 per cell]

Values from the calculation:
Size of the total moment = 0.8 μB per cell
Fermi-level density of states = 5.676 states/eV per cell
ΔE_f = 6.09 kJ/mol of atoms

---

Entry 29:
VASP calculation (PBEsol) on crystalline CuNiAu at its relaxed geometry.

Lattice parameters (Å, degrees): 5.7394 5.7394 5.7394 90.00 90.00 90.00
Space group F-43m (No. 216)
Unique sites:
Cu 0.0000 0.0000 0.0000 [4 per cell]
Ni 0.0000 0.0000 0.5000 [4 per cell]
Au 0.2500 0.2500 0.7500 [4 per cell]

Values from the calculation:
Size of the total moment = 0.0 μB per cell
Fermi-level density of states = 17.341 states/eV per cell
ΔE_f = 47.52 kJ/mol of atoms

---

Entry 30:
VASP calculation (PBEsol) on crystalline Cu2NiAu at its relaxed geometry.

Lattice parameters (Å, degrees): 8.5358 2.6921 4.4639 90.00 101.79 90.00
Space group C2/m (No. 12)
Unique sites:
Cu 0.2440 0.0000 0.2328 [4 per cell]
Ni 0.0000 0.5000 0.0000 [2 per cell]
Au 0.0000 0.0000 0.5000 [2 per cell]

Values from the calculation:
Size of the total moment = 0.0 μB per cell
Fermi-level density of states = 4.195 states/eV per cell
ΔE_f = 2.20 kJ/mol of atoms

---

Entry 31:
VASP calculation (PBEsol) on crystalline CuNi2Au at its relaxed geometry.

Lattice parameters (Å, degrees): 2.7026 2.7026 6.7367 90.00 90.00 90.00
Space group P4mm (No. 99)
Unique sites:
Cu 0.0000 0.0000 0.0000 [1 per cell]
Ni 0.0000 0.0000 0.4406 [1 per cell]
Ni 0.5000 0.5000 0.2286 [1 per cell]
Au 0.5000 0.5000 0.7186 [1 per cell]

Values from the calculation:
Size of the total moment = 0.9 μB per cell
Fermi-level density of states = 5.077 states/eV per cell
ΔE_f = 6.48 kJ/mol of atoms